# Ho3Er3Te2Pd

Ho3Er3Te2Pd after structural relaxation (PBE, OQMD).

E above lowest polymorph in meV/atom: 14.8

The structure in CIF format:
```
data_Ho3Er3Te2Pd
_symmetry_space_group_name_H-M 'P -6 2 m'
_symmetry_Int_Tables_number 189
_symmetry_space_group_name_Hall 'P -6 -2'
_cell_length_a 8.3913
_cell_length_b 8.3913
_cell_length_c 3.9155
_cell_angle_alpha 90.00
_cell_angle_beta 90.00
_cell_angle_gamma 120.00
loop_
_atom_site_label
_atom_site_type_symbol
_atom_site_fract_x
_atom_site_fract_y
_atom_site_fract_z
Ho1 Ho 0.0000 0.2474 0.0000
Er1 Er 0.0000 0.5992 0.5000
Te1 Te 0.3333 0.6667 0.0000
Pd1 Pd 0.0000 0.0000 0.5000
```

***

# HoErTlPd2

HoErTlPd2 after structural relaxation (PBE, OQMD).

The structure in CIF format:
```
data_HoErTlPd2
_symmetry_space_group_name_H-M 'A m m 2'
_symmetry_Int_Tables_number 38
_symmetry_space_group_name_Hall 'A 2 -2'
_cell_length_a 3.636
_cell_length_b 4.112
_cell_length_c 15.032
_cell_angle_alpha 90.00
_cell_angle_beta 90.00
_cell_angle_gamma 90.00
loop_
_atom_site_label
_atom_site_type_symbol
_atom_site_fract_x
_atom_site_fract_y
_atom_site_fract_z
Ho1 Ho 0.000 0.000 0.000
Er1 Er 0.000 0.000 0.270
Tl1 Tl 0.500 0.000 0.635
Pd1 Pd 0.500 0.000 0.444
Pd2 Pd 0.500 0.000 0.825
```

***

# PrHoEr

PrHoEr after structural relaxation (PBE, OQMD).

E above lowest polymorph in meV/atom: 0.0

The structure in CIF format:
```
data_PrHoEr
_symmetry_space_group_name_H-M 'F -4 3 m'
_symmetry_Int_Tables_number 216
_symmetry_space_group_name_Hall 'F -4 2 3'
_cell_length_a 7.705
_cell_length_b 7.705
_cell_length_c 7.705
_cell_angle_alpha 90.00
_cell_angle_beta 90.00
_cell_angle_gamma 90.00
loop_
_atom_site_label
_atom_site_type_symbol
_atom_site_fract_x
_atom_site_fract_y
_atom_site_fract_z
Pr1 Pr 0.000 0.000 0.000
Ho1 Ho 0.000 0.000 0.500
Er1 Er 0.250 0.250 0.750
```

***

no.,electronic total energy (eV per atom)
1,-5.1066
2,-5.1454
3,-3.9294